W2AuBr (GGA-PBE, optimized geometry); uncorrected energy = -26.48 eV/f.u.; E_form (uncorrected) = 1.094 eV/atom; V = 17.8 Å³ per atom; DOS at the Fermi energy = 4.591 states/eV per cell; ΔE to the lowest computed polymorph = 0.544 eV per atom
1.0
-2.407 -0.861 1.345
1.791 -2.044 -0.981
4.677 0.062 8.409
W Au Br
2 1 1
Cartesian
4.669 0.062 8.395
2.346 0.031 4.219
0.861 -1.437 2.284
3.199 -1.406 6.489

Dy3SnPb3 (GGA-PBE, optimized geometry); uncorrected energy = -31.20 eV/f.u.; V = 28.4 Å³ per atom; DOS at the Fermi energy = 14.356 states/eV per cell; calculated formation energy = -0.32 eV/atom
1.0
5.728 0.000 0.000
0.000 8.955 0.000
0.000 -4.477 7.755
Dy Pb Sn
6 6 2
Cartesian
1.432 0.842 7.049
1.432 -2.048 4.960
4.296 3.636 0.706
4.296 3.271 4.253
4.296 6.525 2.795
1.432 1.206 3.502
4.296 -3.109 6.191
1.432 3.807 5.788
4.296 2.439 7.352
1.432 2.038 0.403
4.296 0.670 1.967
1.432 7.586 1.564
4.296 0.000 5.170
1.432 4.477 2.585

ScAg2Pt2 (GGA-PBE, optimized geometry); uncorrected energy = -25.91 eV/f.u.; V = 19.0 Å³ per atom; DOS at the Fermi energy = 2.838 states/eV per cell; calculated formation energy = -0.36 eV/atom; ΔE to the lowest computed polymorph = 0.002 eV per atom
1.0
3.728 0.000 0.000
0.000 3.728 0.000
1.864 1.864 6.848
Pt Ag Sc
2 2 1
Cartesian
1.864 1.864 1.299
3.728 3.728 5.549
3.728 1.864 3.424
1.864 3.728 3.424
0.000 0.000 0.000

LiGaPtPb (GGA-PBE, optimized geometry); uncorrected energy = -15.93 eV/f.u.; V = 18.2 Å³ per atom; DOS at the Fermi energy = 2.280 states/eV per cell; calculated formation energy = -0.31 eV/atom
1.0
4.690 0.000 0.000
2.345 4.062 0.000
2.345 1.354 3.829
Pb Ga Pt Li
1 1 1 1
Cartesian
0.000 0.000 0.000
4.690 2.708 1.915
7.035 4.062 2.872
2.345 1.354 0.957

Tm8Cd2Pb (GGA-PBE, optimized geometry); uncorrected energy = -43.50 eV/f.u.; V = 27.8 Å³ per atom; DOS at the Fermi energy = 9.178 states/eV per cell; calculated formation energy = -0.20 eV/atom; ΔE to the lowest computed polymorph = 0.000 eV per atom
1.0
4.959 0.000 -1.601
-1.278 7.293 -3.958
0.005 -0.043 8.494
Cd Tm Pb
2 8 1
Cartesian
3.370 2.820 1.956
0.316 4.430 0.978
4.281 2.004 4.779
0.471 1.378 1.460
1.327 3.893 4.110
-0.596 5.246 -1.845
3.214 5.872 1.475
1.510 0.324 4.675
2.358 3.357 -1.176
2.176 6.926 -1.741
2.479 0.000 -0.801

PmGa4Cu2Ru (GGA-PBE, optimized geometry); uncorrected energy = -36.80 eV/f.u.; V = 17.1 Å³ per atom; DOS at the Fermi energy = 3.195 states/eV per cell; calculated formation energy = -0.31 eV/atom
1.0
4.187 0.000 0.000
2.093 3.626 0.000
2.093 1.209 9.015
Ga Cu Pm Ru
4 2 1 1
Cartesian
4.187 2.417 1.867
4.187 2.417 7.147
6.280 3.626 3.551
2.093 1.209 5.464
6.280 3.626 6.304
2.093 1.209 2.711
0.000 0.000 0.000
4.187 2.417 4.507

Sm2YAg (GGA-PBE, optimized geometry); uncorrected energy = -18.81 eV/f.u.; V = 30.0 Å³ per atom; DOS at the Fermi energy = 3.821 states/eV per cell; calculated formation energy = -0.01 eV/atom; ΔE to the lowest computed polymorph = 0.111 eV per atom
1.0
-1.361 1.877 2.771
-3.527 0.778 0.096
-3.486 -8.182 6.185
Y Sm Ag
1 2 1
Cartesian
-4.187 -2.764 4.526
-2.048 -1.160 2.135
-6.326 -4.367 6.917
0.000 0.000 0.000

Pr6TlHg (GGA-PBE, optimized geometry); uncorrected energy = -32.96 eV/f.u.; V = 33.0 Å³ per atom; DOS at the Fermi energy = 8.877 states/eV per cell; calculated formation energy = -0.20 eV/atom; ΔE to the lowest computed polymorph = 0.000 eV per atom
1.0
5.096 0.001 1.533
-0.462 5.075 1.535
-0.245 -0.267 10.035
Hg Pr Tl
1 6 1
Cartesian
0.000 0.000 0.000
1.038 1.137 5.779
4.292 1.911 4.200
1.514 4.448 4.201
0.096 2.897 8.903
3.351 3.670 7.325
2.875 0.360 8.902
2.317 2.538 1.534